Entry 1:
# Rb3MoPb (PBE-GGA, relaxed)
data_Rb3MoPb
_chemical_formula_sum 'Rb3 Mo1 Pb1'
_cell_length_a 7.144
_cell_length_b 7.144
_cell_length_c 7.144
_cell_angle_alpha 90.00
_cell_angle_beta 90.00
_cell_angle_gamma 90.00
_symmetry_space_group_name_H-M 'P 1'
_symmetry_Int_Tables_number 1
loop_
_symmetry_equiv_pos_as_xyz
'x,y,z'
loop_
_atom_site_label
_atom_site_fract_x
_atom_site_fract_y
_atom_site_fract_z
Pb1 0.000 0.000 0.000
Mo1 0.500 0.500 0.500
Rb1 0.000 0.500 0.000
Rb2 0.000 0.000 0.500
Rb3 0.500 0.000 0.000
# space-group type	Pm-3m (221)
# calculated volume	364.6	Å³/cell
# energy relative to the elements	1.17	eV/atom
# D(E_F)	3.4	states/eV/f.u.
# E_tot	-2.32	eV/atom
# polymorph energy (0 for the lowest one)	0	meV/atom
# total magnetization	7.000	μB/cell

Entry 2:
# Sc3UTl3Se8 (PBE-GGA, relaxed)
data_Sc3UTl3Se8
_chemical_formula_sum 'Sc3 U1 Tl3 Se8'
_cell_length_a 7.965
_cell_length_b 7.963
_cell_length_c 9.055
_cell_angle_alpha 116.09
_cell_angle_beta 90.00
_cell_angle_gamma 120.01
_symmetry_space_group_name_H-M 'P 1'
_symmetry_Int_Tables_number 1
loop_
_symmetry_equiv_pos_as_xyz
'x,y,z'
loop_
_atom_site_label
_atom_site_fract_x
_atom_site_fract_y
_atom_site_fract_z
Sc1 0.500 0.000 0.500
Sc2 0.500 0.500 0.500
Sc3 0.000 0.500 0.500
U1 0.000 0.000 0.500
Tl1 0.000 0.000 0.000
Tl2 0.000 0.500 0.000
Tl3 0.500 0.500 0.000
Se1 0.269 0.538 0.307
Se2 0.731 0.462 0.693
Se3 0.763 0.525 0.302
Se4 0.237 0.475 0.698
Se5 0.763 0.040 0.302
Se6 0.237 0.960 0.698
Se7 0.277 0.040 0.302
Se8 0.723 0.960 0.698
# space-group type	R-3m (166)
# calculated volume	428.4	Å³/cell
# uncorrected formation energy	-1239	meV/atom
# D(E_F)	5.8	states/eV/f.u.
# E_tot	-5.59	eV/atom
# total magnetization	2.000	μB/cell

Entry 3:
# ScAuS2Cl (PBE-GGA, relaxed)
data_ScAuS2Cl
_chemical_formula_sum 'Sc1 Au1 S2 Cl1'
_cell_length_a 4.980
_cell_length_b 4.980
_cell_length_c 4.832
_cell_angle_alpha 90.00
_cell_angle_beta 90.00
_cell_angle_gamma 90.00
_symmetry_space_group_name_H-M 'P 1'
_symmetry_Int_Tables_number 1
loop_
_symmetry_equiv_pos_as_xyz
'x,y,z'
loop_
_atom_site_label
_atom_site_fract_x
_atom_site_fract_y
_atom_site_fract_z
Sc1 0.000 0.000 0.000
S1 0.000 0.500 0.000
S2 0.500 0.000 0.000
Au1 0.500 0.500 0.500
Cl1 0.000 0.000 0.500
# space-group type	P4/mmm (123)
# calculated volume	119.8	Å³/cell
# uncorrected formation energy	-421	meV/atom
# D(E_F)	5.8	states/eV/f.u.
# E_tot	-4.36	eV/atom
# polymorph energy (0 for the lowest one)	0	meV/atom
# total magnetization	0.000	μB/cell

Entry 4:
# SrLiZnAu2 (PBE-GGA, relaxed)
data_SrLiZnAu2
_chemical_formula_sum 'Sr1 Li1 Zn1 Au2'
_cell_length_a 4.201
_cell_length_b 4.201
_cell_length_c 6.901
_cell_angle_alpha 107.72
_cell_angle_beta 107.72
_cell_angle_gamma 90.00
_symmetry_space_group_name_H-M 'P 1'
_symmetry_Int_Tables_number 1
loop_
_symmetry_equiv_pos_as_xyz
'x,y,z'
loop_
_atom_site_label
_atom_site_fract_x
_atom_site_fract_y
_atom_site_fract_z
Sr1 0.000 0.000 0.000
Li1 0.250 0.750 0.500
Zn1 0.750 0.250 0.500
Au1 0.616 0.616 0.231
Au2 0.384 0.384 0.769
# space-group type	I-4m2 (119)
# calculated volume	109.9	Å³/cell
# energy relative to the elements	-0.58	eV/atom
# D(E_F)	2.3	states/eV/f.u.
# E_tot	-2.87	eV/atom
# total magnetization	0.000	μB/cell

Entry 5:
# BaCu2AuC (PBE-GGA, relaxed)
data_BaCu2AuC
_chemical_formula_sum 'Ba1 Cu2 Au1 C1'
_cell_length_a 4.177
_cell_length_b 5.688
_cell_length_c 4.177
_cell_angle_alpha 90.00
_cell_angle_beta 90.00
_cell_angle_gamma 90.00
_symmetry_space_group_name_H-M 'P 1'
_symmetry_Int_Tables_number 1
loop_
_symmetry_equiv_pos_as_xyz
'x,y,z'
loop_
_atom_site_label
_atom_site_fract_x
_atom_site_fract_y
_atom_site_fract_z
C1 0.000 0.000 0.000
Au1 0.500 0.500 0.500
Ba1 0.000 0.500 0.000
Cu1 0.000 0.000 0.500
Cu2 0.500 0.000 0.000
# space-group type	P4/mmm (123)
# calculated volume	99.2	Å³/cell
# energy relative to the elements	0.48	eV/atom
# D(E_F)	1.7	states/eV/f.u.
# E_tot	-4.05	eV/atom
# total magnetization	0.000	μB/cell

Entry 6:
# PuPaMnSe6 (PBE-GGA, relaxed)
data_PuPaMnSe6
_chemical_formula_sum 'Pu1 Pa1 Mn1 Se6'
_cell_length_a 6.296
_cell_length_b 6.696
_cell_length_c 6.696
_cell_angle_alpha 120.00
_cell_angle_beta 90.00
_cell_angle_gamma 90.00
_symmetry_space_group_name_H-M 'P 1'
_symmetry_Int_Tables_number 1
loop_
_symmetry_equiv_pos_as_xyz
'x,y,z'
loop_
_atom_site_label
_atom_site_fract_x
_atom_site_fract_y
_atom_site_fract_z
Pu1 0.500 0.667 0.333
Pa1 0.000 0.333 0.667
Mn1 0.500 0.000 0.000
Se1 0.746 0.685 0.690
Se2 0.746 0.310 0.995
Se3 0.746 0.005 0.315
Se4 0.254 0.310 0.315
Se5 0.254 0.685 0.995
Se6 0.254 0.005 0.690
# space-group type	P312 (149)
# calculated volume	244.4	Å³/cell
# uncorrected formation energy	-880	meV/atom
# D(E_F)	11.9	states/eV/f.u.
# E_tot	-6.87	eV/atom
# total magnetization	7.994	μB/cell

Entry 7:
# Rb2HOsN (PBE-GGA, relaxed)
data_Rb2HOsN
_chemical_formula_sum 'Rb2 H1 Os1 N1'
_cell_length_a 6.312
_cell_length_b 2.780
_cell_length_c 6.312
_cell_angle_alpha 90.00
_cell_angle_beta 90.00
_cell_angle_gamma 90.00
_symmetry_space_group_name_H-M 'P 1'
_symmetry_Int_Tables_number 1
loop_
_symmetry_equiv_pos_as_xyz
'x,y,z'
loop_
_atom_site_label
_atom_site_fract_x
_atom_site_fract_y
_atom_site_fract_z
H1 0.000 0.000 0.000
Os1 0.500 0.500 0.500
Rb1 0.000 0.000 0.500
Rb2 0.500 0.000 0.000
N1 0.000 0.500 0.000
# space-group type	P4/mmm (123)
# calculated volume	110.7	Å³/cell
# D(E_F)	4.2	states/eV/f.u.
# E_tot	-3.57	eV/atom
# total magnetization	2.718	μB/cell

Entry 8:
# Cs4Zn3Au5 (PBE-GGA, relaxed)
data_Cs4Zn3Au5
_chemical_formula_sum 'Cs4 Zn3 Au5'
_cell_length_a 5.001
_cell_length_b 9.224
_cell_length_c 11.789
_cell_angle_alpha 63.63
_cell_angle_beta 77.75
_cell_angle_gamma 74.27
_symmetry_space_group_name_H-M 'P 1'
_symmetry_Int_Tables_number 1
loop_
_symmetry_equiv_pos_as_xyz
'x,y,z'
loop_
_atom_site_label
_atom_site_fract_x
_atom_site_fract_y
_atom_site_fract_z
Cs1 0.940 0.241 0.880
Cs2 0.277 0.748 0.698
Cs3 0.723 0.252 0.302
Cs4 0.060 0.759 0.120
Zn1 0.433 0.792 0.342
Zn2 0.000 0.500 0.500
Zn3 0.567 0.208 0.658
Au1 0.623 0.923 0.831
Au2 0.500 0.500 0.500
Au3 0.279 0.412 0.029
Au4 0.721 0.588 0.971
Au5 0.377 0.077 0.169
# space-group type	C2/m (12)
# calculated volume	466.4	Å³/cell
# energy relative to the elements	-0.18	eV/atom
# D(E_F)	4.0	states/eV/f.u.
# E_tot	-2.15	eV/atom
# total magnetization	0.000	μB/cell